No. 1
# TlRu2Au PBE-GGA optimized geometry
data_TlRu2Au
_chemical_formula_sum 'Tl2 Ru4 Au2'
_cell_length_a 9.310
_cell_length_b 2.988
_cell_length_c 4.980
_cell_angle_alpha 90.00
_cell_angle_beta 99.92
_cell_angle_gamma 90.00
_space_group_name_H-M_alt 'C 1 m 1'
_space_group_IT_number 8
loop_
_space_group_symop_operation_xyz
'x,y,z'
'x,-y,z'
'x+1/2,y+1/2,z'
'x+1/2,-y+1/2,z'
loop_
_atom_site_label
_atom_site_type_symbol
_atom_site_fract_x
_atom_site_fract_y
_atom_site_fract_z
_atom_site_occupancy
Tl1 Tl 0.000 0.000 0.000 1
Ru1 Ru 0.255 0.500 0.288 1
Ru2 Ru 0.488 0.000 0.476 1
Au1 Au 0.241 0.000 0.748 1
# M_tot = 0.000 μB per atom
# Energy above the most stable polymorph in this dataset = 16.6 kJ per mole of atoms
# DFT formation energy = 502 meV/atom

=====

No. 2
# TlRu2Au PBE-GGA optimized geometry
data_TlRu2Au
_chemical_formula_sum 'Tl1 Ru2 Au1'
_cell_length_a 2.910
_cell_length_b 2.910
_cell_length_c 8.293
_cell_angle_alpha 90.00
_cell_angle_beta 90.00
_cell_angle_gamma 90.00
_space_group_name_H-M_alt 'P 4 m m'
_space_group_IT_number 99
loop_
_space_group_symop_operation_xyz
'x,y,z'
'-y,x,z'
'-x,-y,z'
'y,-x,z'
'-x,y,z'
'y,x,z'
'x,-y,z'
'-y,-x,z'
loop_
_atom_site_label
_atom_site_type_symbol
_atom_site_fract_x
_atom_site_fract_y
_atom_site_fract_z
_atom_site_occupancy
Tl1 Tl 0.000 0.000 0.000 1
Ru1 Ru 0.000 0.000 0.547 1
Ru2 Ru 0.500 0.500 0.735 1
Au1 Au 0.500 0.500 0.299 1
# M_tot = 0.000 μB per atom
# Energy above the most stable polymorph in this dataset = 0.0 kJ per mole of atoms
# DFT formation energy = 330 meV/atom

=====

No. 3
# TlRuAu2 PBE-GGA optimized geometry
data_TlRuAu2
_chemical_formula_sum 'Tl2 Ru2 Au4'
_cell_length_a 5.644
_cell_length_b 10.368
_cell_length_c 2.991
_cell_angle_alpha 90.00
_cell_angle_beta 121.01
_cell_angle_gamma 90.00
_space_group_name_H-M_alt 'C 1 2/m 1'
_space_group_IT_number 12
loop_
_space_group_symop_operation_xyz
'x,y,z'
'-x,-y,-z'
'-x,y,-z'
'x,-y,z'
'x+1/2,y+1/2,z'
'-x+1/2,-y+1/2,-z'
'-x+1/2,y+1/2,-z'
'x+1/2,-y+1/2,z'
loop_
_atom_site_label
_atom_site_type_symbol
_atom_site_fract_x
_atom_site_fract_y
_atom_site_fract_z
_atom_site_occupancy
Tl1 Tl 0.000 0.000 0.000 1
Ru1 Ru 0.000 0.500 0.000 1
Au1 Au 0.250 0.250 0.500 1
# M_tot = 0.222 μB per atom
# Energy above the most stable polymorph in this dataset = 7.2 kJ per mole of atoms
# DFT formation energy = 398 meV/atom

=====

No. 4
# TlRuAu2 PBE-GGA optimized geometry
data_TlRuAu2
_chemical_formula_sum 'Tl1 Ru1 Au2'
_cell_length_a 3.436
_cell_length_b 3.436
_cell_length_c 6.221
_cell_angle_alpha 90.00
_cell_angle_beta 90.00
_cell_angle_gamma 90.00
_space_group_name_H-M_alt 'P 4 m m'
_space_group_IT_number 99
loop_
_space_group_symop_operation_xyz
'x,y,z'
'-y,x,z'
'-x,-y,z'
'y,-x,z'
'-x,y,z'
'y,x,z'
'x,-y,z'
'-y,-x,z'
loop_
_atom_site_label
_atom_site_type_symbol
_atom_site_fract_x
_atom_site_fract_y
_atom_site_fract_z
_atom_site_occupancy
Tl1 Tl 0.000 0.000 0.000 1
Ru1 Ru 0.500 0.500 0.771 1
Au1 Au 0.000 0.000 0.523 1
Au2 Au 0.500 0.500 0.286 1
# M_tot = 0.000 μB per atom
# Energy above the most stable polymorph in this dataset = 8.3 kJ per mole of atoms
# DFT formation energy = 410 meV/atom

=====

No. 5
# TlRuAu2 PBE-GGA optimized geometry
data_TlRuAu2
_chemical_formula_sum 'Tl1 Ru1 Au2'
_cell_length_a 4.690
_cell_length_b 3.201
_cell_length_c 5.015
_cell_angle_alpha 90.00
_cell_angle_beta 103.72
_cell_angle_gamma 90.00
_space_group_name_H-M_alt 'P 1 2/m 1'
_space_group_IT_number 10
loop_
_space_group_symop_operation_xyz
'x,y,z'
'-x,-y,-z'
'-x,y,-z'
'x,-y,z'
loop_
_atom_site_label
_atom_site_type_symbol
_atom_site_fract_x
_atom_site_fract_y
_atom_site_fract_z
_atom_site_occupancy
Tl1 Tl 0.000 0.000 0.000 1
Ru1 Ru 0.500 0.500 0.000 1
Au1 Au 0.000 0.500 0.500 1
Au2 Au 0.500 0.000 0.500 1
# M_tot = 0.000 μB per atom
# Energy above the most stable polymorph in this dataset = 2.8 kJ per mole of atoms
# DFT formation energy = 353 meV/atom

=====

No. 6
# TlRuAu2 PBE-GGA optimized geometry
data_TlRuAu2
_chemical_formula_sum 'Tl1 Ru1 Au2'
_cell_length_a 2.997
_cell_length_b 4.132
_cell_length_c 6.103
_cell_angle_alpha 90.00
_cell_angle_beta 90.00
_cell_angle_gamma 90.00
_space_group_name_H-M_alt 'P m m m'
_space_group_IT_number 47
loop_
_space_group_symop_operation_xyz
'x,y,z'
'-x,-y,-z'
'-x,-y,z'
'x,y,-z'
'x,-y,-z'
'-x,y,z'
'-x,y,-z'
'x,-y,z'
loop_
_atom_site_label
_atom_site_type_symbol
_atom_site_fract_x
_atom_site_fract_y
_atom_site_fract_z
_atom_site_occupancy
Tl1 Tl 0.000 0.000 0.000 1
Ru1 Ru 0.000 0.000 0.500 1
Au1 Au 0.500 0.500 0.274 1
# M_tot = 0.381 μB per atom
# Energy above the most stable polymorph in this dataset = 11.8 kJ per mole of atoms
# DFT formation energy = 446 meV/atom